Here is La4Ni5 after structural relaxation from Alexandria via LeMat-Bulk. Energies are from PBE.

total DFT energy (no corrections): -49.94 eV per cell
formation enthalpy at 0 K: -0.147 eV per atom

Cell: 7.271 7.271 7.271 Å, 94.58 94.58 147.17°
Element x y z (fractional)
La: 0.000 0.280 0.280
La: 0.720 0.000 0.720
La: 0.280 0.000 0.280
La: 0.000 0.720 0.720
Ni: 0.374 0.626 0.000
Ni: 0.626 0.626 0.251
Ni: 0.000 0.000 0.000
Ni: 0.626 0.374 0.000
Ni: 0.374 0.374 0.749

=====

Here is SnIrC3 after structural relaxation from Alexandria via LeMat-Bulk. Energies are from PBE.

total DFT energy (no corrections): -30.56 eV per cell
formation enthalpy at 0 K: 1.994 eV per atom

Cell: 4.068 4.068 4.068 Å, 90.00 90.00 90.00°
Element x y z (fractional)
Sn: 0.500 0.500 0.500
C: 0.000 0.000 0.500
C: 0.500 0.000 0.000
C: 0.000 0.500 0.000
Ir: 0.000 0.000 0.000

=====

Here is Ga2SbRhI after structural relaxation from Alexandria via LeMat-Bulk. Energies are from PBE.

energy relative to the elements, uncorrected: 1.066 eV per atom
total DFT energy (no corrections): -13.75 eV per cell

Cell: 5.347 6.024 5.347 Å, 90.00 90.00 90.00°
Last column: magnetic moment on the atom in μB.
Element x y z (fractional)
Sb: 0.000 0.000 0.000  0.00
Ga: 0.000 0.000 0.500  -0.01
Ga: 0.500 0.000 0.000  -0.01
Rh: 0.500 0.500 0.500  1.17
I: 0.000 0.500 0.000  0.02

=====

Here is Al2NiSe after structural relaxation from Alexandria via LeMat-Bulk. Energies are from PBE.

energy relative to the elements, uncorrected: -0.227 eV per atom
total DFT energy (no corrections): -17.66 eV per cell

Cell: 3.400 3.400 6.240 Å, 90.00 90.00 90.00°
Element x y z (fractional)
Se: 0.500 0.500 0.835
Al: 0.000 0.000 0.996
Al: 0.500 0.500 0.303
Ni: 0.000 0.000 0.365

=====

Here is MgTa2CdSb after structural relaxation from Alexandria via LeMat-Bulk. Energies are from PBE.

energy relative to the elements, uncorrected: 1.586 eV per atom
total DFT energy (no corrections): -22.41 eV per cell

Cell: 4.958 4.770 4.958 Å, 90.00 90.00 90.00°
Last column: magnetic moment on the atom in μB.
Element x y z (fractional)
Mg: 0.000 0.000 0.000  0.02
Ta: 0.500 0.000 0.000  0.53
Ta: 0.000 0.000 0.500  0.60
Cd: 0.000 0.500 0.000  0.00
Sb: 0.500 0.500 0.500  -0.02

=====

Here is K3PrSm2O6 after structural relaxation from Alexandria via LeMat-Bulk. Energies are from PBE.

energy relative to the elements, uncorrected: -2.634 eV per atom
total DFT energy (no corrections): -78.87 eV per cell

Cell: 6.266 6.266 6.641 Å, 99.05 99.05 120.00°
Element x y z (fractional)
K: 0.168 0.832 0.500
K: 0.500 0.500 0.500
K: 0.832 0.168 0.500
O: 0.598 0.937 0.810
O: 0.724 0.724 0.190
O: 0.063 0.402 0.190
O: 0.937 0.598 0.810
O: 0.276 0.276 0.810
O: 0.402 0.063 0.190
Sm: 0.333 0.667 0.000
Sm: 0.667 0.333 0.000
Pr: 0.000 0.000 0.000

=====

Here is La7PrDy4 after structural relaxation from Alexandria via LeMat-Bulk. Energies are from PBE.

total DFT energy (no corrections): -55.38 eV per cell
formation enthalpy at 0 K: 0.192 eV per atom

Cell: 6.119 9.759 8.760 Å, 63.08 69.56 71.73°
Last column: magnetic moment on the atom in μB.
Element x y z (fractional)
Dy: 0.668 0.634 0.031  0.00
Dy: 0.332 0.366 0.969  0.00
Dy: 0.566 0.298 0.571  0.00
Dy: 0.434 0.702 0.429  0.00
La: 0.222 0.749 0.806  0.00
La: 0.778 0.251 0.194  0.00
La: 0.213 0.110 0.464  0.00
La: 0.500 0.000 0.000  0.09
La: 0.787 0.890 0.536  0.00
La: 0.089 0.542 0.280  0.00
La: 0.911 0.458 0.720  0.00
Pr: 0.000 0.000 0.000  0.10

=====

Here is YTmThAl after structural relaxation from Alexandria via LeMat-Bulk. Energies are from PBE.

total DFT energy (no corrections): -22.26 eV per cell
formation enthalpy at 0 K: -0.041 eV per atom

Cell: 5.367 5.367 5.367 Å, 60.00 60.00 60.00°
Element x y z (fractional)
Al: 0.000 0.000 0.000
Th: 0.250 0.250 0.250
Y: 0.750 0.750 0.750
Tm: 0.500 0.500 0.500